No. 1
Material: LiSm2TaS6
Method: DFT, PBE-GGA
State: optimized geometry

Structure (POSCAR):
```
LiSm2TaS6
1.0
3.378 1.950 5.865
-3.378 1.950 5.865
0.000 -3.900 5.865
Li Sm Ta S
1 2 1 6
Cartesian
0.000 0.000 0.000
0.000 0.000 3.751
0.000 0.000 12.596
0.000 0.000 9.019
-0.736 -1.903 7.721
-1.962 -0.185 10.601
-1.280 1.589 7.721
1.142 -1.607 10.601
2.016 0.314 7.721
0.821 1.792 10.601
```

Output
E_form (uncorrected): -1.504 eV per atom
M_tot: 0.00 μB per atom
SG: R3

***

No. 2
Material: OsOF3
Method: DFT, PBE-GGA
State: optimized geometry

Structure (POSCAR):
```
OsOF3
1.0
3.912 0.000 0.000
0.000 3.912 0.000
0.000 0.000 3.912
Os O F
1 1 3
Cartesian
0.000 0.000 0.000
1.956 1.956 1.956
0.000 1.956 1.956
1.956 0.000 1.956
1.956 1.956 0.000
```

Output
Offset from the most stable computed form: 2243 meV per atom
E_form (uncorrected): 0.972 eV per atom
M_tot: 0.85 μB per atom
SG: Pm-3m

***

No. 3
Material: Cd2TePb
Method: DFT, PBE-GGA
State: optimized geometry

Structure (POSCAR):
```
Cd2TePb
1.0
7.632 0.000 0.000
0.000 7.632 0.000
0.000 0.000 7.632
Cd Te Pb
8 4 4
Cartesian
1.908 1.908 1.908
1.908 1.908 5.724
1.908 5.724 1.908
1.908 5.724 5.724
5.724 1.908 1.908
5.724 1.908 5.724
5.724 5.724 1.908
5.724 5.724 5.724
0.000 0.000 0.000
0.000 3.816 3.816
3.816 0.000 3.816
3.816 3.816 0.000
0.000 0.000 3.816
0.000 3.816 0.000
3.816 0.000 0.000
3.816 3.816 3.816
```

Output
Offset from the most stable computed form: 195 meV per atom
E_form (uncorrected): 0.125 eV per atom
M_tot: 0.00 μB per atom
SG: Fm-3m

***

No. 4
Material: Sc2CrRuS
Method: DFT, PBE-GGA
State: optimized geometry

Structure (POSCAR):
```
Sc2CrRuS
1.0
4.784 0.000 0.000
0.000 4.784 0.000
0.000 0.000 4.345
Sc Cr Ru S
2 1 1 1
Cartesian
0.000 2.392 0.000
2.392 0.000 0.000
0.000 0.000 2.172
2.392 2.392 2.172
2.392 2.392 0.000
```

Output
E_form (uncorrected): -0.140 eV per atom
M_tot: 0.83 μB per atom
SG: P4/mmm

***

No. 5
Material: LiNd2Th3Se6
Method: DFT, PBE-GGA
State: optimized geometry

Structure (POSCAR):
```
LiNd2Th3Se6
1.0
9.131 -2.081 0.000
9.131 2.081 0.000
-2.127 0.000 8.159
Li Nd Th Se
1 2 3 6
Cartesian
0.000 0.000 0.000
4.641 0.000 5.449
11.495 0.000 2.710
-1.063 0.000 4.080
5.648 0.000 1.346
10.487 0.000 6.813
2.681 0.000 0.609
1.799 0.000 4.736
8.580 0.000 1.938
7.555 0.000 6.221
14.337 0.000 3.423
13.455 0.000 7.551
```

Output
E_form (uncorrected): -1.621 eV per atom
M_tot: 0.00 μB per atom
SG: C2/m

***

No. 6
Material: CaYSi
Method: DFT, PBE-GGA
State: optimized geometry

Structure (POSCAR):
```
CaYSi
1.0
4.708 0.000 0.000
0.000 4.708 0.000
0.000 0.000 7.619
Ca Y Si
2 2 2
Cartesian
1.177 1.177 1.020
3.531 3.531 6.599
1.177 3.531 3.810
3.531 1.177 3.810
1.177 1.177 5.615
3.531 3.531 2.004
```

Output
E_form (uncorrected): -0.427 eV per atom
M_tot: 0.20 μB per atom
SG: P4/nmm

***

No. 7
Material: CaCr4Cd
Method: DFT, PBE-GGA
State: optimized geometry

Structure (POSCAR):
```
CaCr4Cd
1.0
0.000 3.598 3.598
3.598 0.000 3.598
3.598 3.598 0.000
Ca Cr Cd
1 4 1
Cartesian
0.000 0.000 0.000
2.690 2.690 2.690
4.505 4.505 2.690
4.505 2.690 4.505
2.690 4.505 4.505
5.397 5.397 5.397
```

Output
M_tot: 0.00 μB per atom
SG: F-43m
Formation energy from the elements: 0.62 eV/atom

***

No. 8
Material: Pr2SmThS4
Method: DFT, PBE-GGA
State: optimized geometry

Structure (POSCAR):
```
Pr2SmThS4
1.0
7.049 0.000 0.000
0.000 4.048 0.000
-2.331 0.000 6.653
Pr Sm Th S
2 1 1 4
Cartesian
0.000 0.000 0.000
-1.165 2.024 3.327
2.359 0.000 3.327
3.524 2.024 0.000
0.057 0.000 4.991
1.226 2.024 1.688
3.492 2.024 4.965
4.662 0.000 1.662
```

Output
E_form (uncorrected): -1.972 eV per atom
M_tot: 0.00 μB per atom
SG: P2/m

***

No. 9
Material: BeAl3Ir4
Method: DFT, PBE-GGA
State: optimized geometry

Structure (POSCAR):
```
BeAl3Ir4
1.0
2.969 0.000 0.000
0.000 2.969 0.000
0.000 0.000 11.862
Be Al Ir
1 3 4
Cartesian
0.000 0.000 0.000
0.000 0.000 2.821
0.000 0.000 5.931
0.000 0.000 9.041
1.485 1.485 1.374
1.485 1.485 4.411
1.485 1.485 7.451
1.485 1.485 10.488
```

Output
M_tot: 0.00 μB per atom
SG: P4/mmm
Formation energy from the elements: -0.89 eV/atom

***

No. 10
Material: Li4U3AuSe8
Method: DFT, PBE-GGA
State: optimized geometry

Structure (POSCAR):
```
Li4U3AuSe8
1.0
6.975 -3.977 0.000
6.975 3.977 0.000
-4.618 0.000 6.589
Li U Au Se
4 3 1 8
Cartesian
0.000 0.000 0.000
3.488 1.988 0.000
3.488 -1.988 0.000
6.975 0.000 0.000
-2.309 0.000 3.294
1.179 1.988 3.294
1.179 -1.988 3.294
4.666 0.000 3.294
2.256 0.000 1.572
5.840 1.991 1.622
3.493 1.991 4.967
0.006 0.000 5.015
9.326 0.000 1.574
5.840 -1.991 1.622
3.493 -1.991 4.967
7.076 0.000 5.017
```

Output
E_form (uncorrected): -1.044 eV per atom
M_tot: 0.44 μB per atom
SG: C2/m

***

No. 11
Material: KTaGe2
Method: DFT, PBE-GGA
State: optimized geometry

Structure (POSCAR):
```
KTaGe2
1.0
6.035 0.000 0.000
0.000 6.035 0.000
0.000 0.000 15.881
K Ta Ge
4 4 8
Cartesian
0.000 0.000 0.000
0.000 3.017 3.970
3.017 0.000 11.910
3.017 3.017 7.940
0.000 0.000 7.940
0.000 3.017 11.910
3.017 0.000 3.970
3.017 3.017 0.000
0.142 1.509 9.925
1.509 3.159 13.896
1.509 5.892 5.955
2.875 1.509 1.985
3.159 4.526 1.985
4.526 0.142 5.955
4.526 2.875 13.896
5.892 4.526 9.925
```

Output
Offset from the most stable computed form: 0 meV per atom
M_tot: 0.00 μB per atom
SG: I-42d
Formation energy from the elements: 0.41 eV/atom

***

No. 12
Material: MgSn2Pd2
Method: DFT, PBE-GGA
State: optimized geometry

Structure (POSCAR):
```
MgSn2Pd2
1.0
7.984 0.000 0.000
0.000 7.984 0.000
0.000 0.000 3.184
Mg Sn Pd
2 4 4
Cartesian
0.000 0.000 0.000
3.992 3.992 0.000
1.203 2.789 0.000
2.789 6.781 0.000
5.194 1.203 0.000
6.781 5.194 0.000
1.147 5.139 1.592
2.845 1.147 1.592
5.139 6.836 1.592
6.836 2.845 1.592
```

Output
M_tot: 0.00 μB per atom
SG: P4/mbm
Formation energy from the elements: -0.31 eV/atom

***

No. 13
Material: CoRh2I
Method: DFT, PBE-GGA
State: optimized geometry

Structure (POSCAR):
```
CoRh2I
1.0
6.332 0.000 0.000
0.000 6.332 0.000
0.000 0.000 6.332
Co Rh I
4 8 4
Cartesian
0.000 0.000 0.000
0.000 3.166 3.166
3.166 0.000 3.166
3.166 3.166 0.000
1.583 1.583 1.583
1.583 1.583 4.749
1.583 4.749 1.583
1.583 4.749 4.749
4.749 1.583 1.583
4.749 1.583 4.749
4.749 4.749 1.583
4.749 4.749 4.749
0.000 0.000 3.166
0.000 3.166 0.000
3.166 0.000 0.000
3.166 3.166 3.166
```

Output
Offset from the most stable computed form: 0 meV per atom
E_form (uncorrected): 0.641 eV per atom
M_tot: 0.49 μB per atom
SG: Fm-3m

***

No. 14
Material: YIn2I
Method: DFT, PBE-GGA
State: optimized geometry

Structure (POSCAR):
```
YIn2I
1.0
9.087 0.000 0.000
0.000 9.087 0.000
0.000 0.000 6.247
Y In I
4 8 4
Cartesian
0.000 0.000 0.000
0.000 4.543 1.562
4.543 0.000 4.685
4.543 4.543 3.123
2.073 2.272 0.781
2.272 6.616 2.343
2.272 7.013 5.466
2.470 2.272 3.904
6.616 6.815 3.904
6.815 2.073 5.466
6.815 2.470 2.343
7.013 6.815 0.781
0.000 0.000 3.123
0.000 4.543 4.685
4.543 0.000 1.562
4.543 4.543 0.000
```

Output
Offset from the most stable computed form: 0 meV per atom
E_form (uncorrected): -0.057 eV per atom
M_tot: 0.00 μB per atom
SG: I-42d

***

No. 15
Material: Li2SbH6
Method: DFT, PBE-GGA
State: optimized geometry

Structure (POSCAR):
```
Li2SbH6
1.0
0.000 3.601 3.601
3.601 0.000 3.601
3.601 3.601 0.000
Li Sb H
2 1 6
Cartesian
1.801 1.801 1.801
5.402 5.402 5.402
0.000 0.000 0.000
3.601 3.601 1.941
3.601 1.941 3.601
5.261 3.601 3.601
1.941 3.601 3.601
3.601 5.261 3.601
3.601 3.601 5.261
```

Output
M_tot: 0.00 μB per atom
SG: Fm-3m
Raw total energy: -2.79 eV per atom

***

No. 16
Material: Tb5Co2Ni
Method: DFT, PBE-GGA
State: optimized geometry

Structure (POSCAR):
```
Tb5Co2Ni
1.0
-3.596 3.596 7.015
3.596 -3.596 7.015
3.596 3.596 -7.015
Tb Co Ni
10 4 2
Cartesian
0.000 0.000 0.000
4.864 1.268 -1.982
1.268 2.328 -1.982
4.864 1.268 1.982
1.268 2.328 1.982
0.000 0.000 7.015
2.328 1.268 5.032
-1.268 2.328 5.032
2.328 1.268 8.997
-1.268 2.328 8.997
2.784 0.812 0.000
2.784 -0.812 7.015
0.812 4.408 0.000
0.812 2.784 7.015
0.000 0.000 3.507
0.000 0.000 10.522
```

Output
M_tot: 0.00 μB per atom
SG: I4/mcm
Formation energy from the elements: -0.20 eV/atom

***

No. 17
Material: NaHo2Pd
Method: DFT, PBE-GGA
State: optimized geometry

Structure (POSCAR):
```
NaHo2Pd
1.0
3.452 0.000 0.000
0.000 3.452 0.000
0.000 0.000 9.497
Na Ho Pd
1 2 1
Cartesian
0.000 0.000 0.000
1.726 1.726 3.049
1.726 1.726 6.448
0.000 0.000 4.749
```

Output
Offset from the most stable computed form: 0 meV per atom
M_tot: 0.00 μB per atom
SG: P4/mmm
Formation energy from the elements: -0.31 eV/atom

***

No. 18
Material: MoPbS2N
Method: DFT, PBE-GGA
State: optimized geometry

Structure (POSCAR):
```
MoPbS2N
1.0
5.193 0.000 0.000
0.000 5.193 0.000
0.000 0.000 4.421
Mo Pb S N
1 1 2 1
Cartesian
0.000 0.000 0.000
2.597 2.597 2.210
0.000 2.597 2.210
2.597 0.000 2.210
2.597 2.597 0.000
```

Output
Offset from the most stable computed form: 1709 meV per atom
E_form (uncorrected): 1.578 eV per atom
M_tot: 0.53 μB per atom
SG: P4/mmm

***

No. 19
Material: TbCe2Pm3N6
Method: DFT, PBE-GGA
State: optimized geometry

Structure (POSCAR):
```
TbCe2Pm3N6
1.0
3.094 -5.360 0.000
3.094 5.360 0.000
-2.061 0.000 5.840
Tb Ce Pm N
1 2 3 6
Cartesian
0.000 0.000 0.000
3.094 1.788 0.000
3.094 -1.788 0.000
2.063 3.578 2.920
2.063 0.000 2.920
2.063 -3.578 2.920
1.041 1.803 1.388
0.019 0.000 4.443
1.041 -1.803 1.388
3.086 1.803 4.452
4.107 0.000 1.397
3.086 -1.803 4.452
```

Output
E_form (uncorrected): -1.514 eV per atom
M_tot: 0.00 μB per atom
SG: C2/m

***

No. 20
Material: Sm2DyZr
Method: DFT, PBE-GGA
State: optimized geometry

Structure (POSCAR):
```
Sm2DyZr
1.0
4.055 0.000 0.000
0.000 4.055 0.000
0.000 0.000 7.286
Sm Dy Zr
2 1 1
Cartesian
0.000 0.000 1.640
0.000 0.000 5.646
2.028 2.028 3.643
2.028 2.028 0.000
```

Output
Offset from the most stable computed form: 65 meV per atom
M_tot: 0.00 μB per atom
SG: P4/mmm
Formation energy from the elements: 0.17 eV/atom

***

No. 21
Material: Ac3Cu3Si2
Method: DFT, PBE-GGA
State: optimized geometry

Structure (POSCAR):
```
Ac3Cu3Si2
1.0
2.154 -5.801 0.000
2.154 5.801 0.000
0.000 0.000 15.867
Ac Cu Si
6 6 4
Cartesian
2.154 5.081 11.901
2.154 1.602 9.331
2.154 1.602 14.470
2.154 -1.602 1.398
2.154 -1.602 6.536
2.154 -5.081 3.967
2.154 4.872 8.843
2.154 4.872 14.958
2.154 3.061 3.967
2.154 -3.061 11.901
2.154 -4.872 0.909
2.154 -4.872 7.025
2.154 1.807 1.785
2.154 1.807 6.149
2.154 -1.807 9.718
2.154 -1.807 14.083
```

Output
E_form (uncorrected): -0.387 eV per atom
M_tot: 0.00 μB per atom
SG: Cmcm

***

No. 22
Material: FeNi2Ge
Method: DFT, PBE-GGA
State: optimized geometry

Structure (POSCAR):
```
FeNi2Ge
1.0
3.527 0.000 0.000
0.000 3.527 0.000
0.000 0.000 16.665
Fe Ni Ge
4 8 4
Cartesian
0.000 0.000 0.000
0.000 1.763 4.166
1.763 0.000 12.499
1.763 1.763 8.332
0.877 0.882 10.415
0.882 2.640 14.582
0.882 2.650 6.249
0.886 0.882 2.083
2.640 2.645 2.083
2.645 0.877 6.249
2.645 0.886 14.582
2.650 2.645 10.415
0.000 0.000 8.332
0.000 1.763 12.499
1.763 0.000 4.166
1.763 1.763 0.000
```

Output
M_tot: 0.75 μB per atom
SG: I-42d
Formation energy from the elements: 0.19 eV/atom

***

No. 23
Material: NaTcSb3
Method: DFT, PBE-GGA
State: optimized geometry

Structure (POSCAR):
```
NaTcSb3
1.0
5.269 0.000 0.000
0.000 5.269 0.000
0.000 0.000 5.269
Na Tc Sb
1 1 3
Cartesian
0.000 0.000 0.000
2.634 2.634 2.634
0.000 2.634 2.634
2.634 0.000 2.634
2.634 2.634 0.000
```

Output
Offset from the most stable computed form: 0 meV per atom
E_form (uncorrected): 0.290 eV per atom
M_tot: 0.21 μB per atom
SG: Pm-3m

***

No. 24
Material: CaPrN2
Method: DFT, PBE-GGA
State: optimized geometry

Structure (POSCAR):
```
CaPrN2
1.0
3.601 0.000 0.000
-1.801 3.119 0.000
0.000 0.000 18.315
Ca Pr N
3 3 6
Cartesian
0.000 0.000 0.000
0.000 2.079 12.210
1.801 1.040 6.105
0.000 0.000 15.144
0.000 2.079 9.039
1.801 1.040 2.934
0.000 0.000 4.385
0.000 0.000 7.583
0.000 2.079 1.478
0.000 2.079 16.595
1.801 1.040 10.490
1.801 1.040 13.688
```

Output
E_form (uncorrected): -0.690 eV per atom
M_tot: 0.25 μB per atom
SG: R3m